# 1
# Pm6NdYSc2

A relaxed Pm6NdYSc2 crystal (PBE-GGA, the Alexandria database).

Output
M_tot   0.000 μB/atom
VASP energy   -5.119 eV/atom

abc: 8.7932 8.7932 9.6055
angles: 94.27 94.27 117.76
Positions (direct):
Pm 0.0189 0.5619 0.1806
Pm 0.1094 0.7605 0.5527
Pm 0.2395 0.8906 0.9473
Pm 0.2989 0.5026 0.3801
Pm 0.4381 0.9811 0.3194
Pm 0.4974 0.7011 0.1199
Pm 0.5026 0.2989 0.8801
Pm 0.5619 0.0189 0.6806
Pm 0.7011 0.4974 0.6199
Pm 0.7605 0.1094 0.0527
Pm 0.8906 0.2395 0.4473
Pm 0.9811 0.4381 0.8194
Nd 0.4050 0.5950 0.7500
Nd 0.5950 0.4050 0.2500
Y 0.0289 0.9711 0.2500
Y 0.9711 0.0289 0.7500
Sc 0.1946 0.2950 0.0474
Sc 0.2950 0.1946 0.5474
Sc 0.7050 0.8054 0.4526
Sc 0.8054 0.7050 0.9526



# 2
# Na2Ac2IrO6

A relaxed Na2Ac2IrO6 crystal (PBE-GGA, the Alexandria database).

Output
Formation energy from raw total energies   -2109.0 kJ/mol of formula units
M_tot   0.096 μB/atom
VASP energy   -6.484 eV/atom

abc: 6.2309 6.2309 5.9116
angles: 95.60 95.60 120.28
Positions (direct):
Na 0.1226 0.8774 0.0000
Na 0.8774 0.1226 0.0000
Ac 0.3394 0.6606 0.5000
Ac 0.6606 0.3394 0.5000
Ir 0.0000 0.0000 0.5000
O 0.0242 0.3176 0.6869
O 0.2344 0.2344 0.2895
O 0.3176 0.0242 0.6869
O 0.6824 0.9758 0.3131
O 0.7656 0.7656 0.7105
O 0.9758 0.6824 0.3131



# 3
# PmSmErRu

A relaxed PmSmErRu crystal (PBE-GGA, the Alexandria database).

Output
M_tot   0.000 μB/atom
VASP energy   -5.670 eV/atom

abc: 5.2285 5.2285 5.2285
angles: 60.00 60.00 60.00
Positions (direct):
Pm 0.0000 0.0000 0.0000
Sm 0.5000 0.5000 0.5000
Er 0.7500 0.7500 0.7500
Ru 0.2500 0.2500 0.2500



# 4
# CeTmZn2In2

A relaxed CeTmZn2In2 crystal (PBE-GGA, the Alexandria database).

Output
M_tot   0.192 μB/atom
VASP energy   -3.438 eV/atom

abc: 4.6920 4.6920 7.3556
angles: 90.00 90.00 120.00
Positions (direct):
Ce 0.0000 0.0000 0.0000
Tm 0.0000 0.0000 0.5000
Zn 0.3333 0.6667 0.2800
Zn 0.6667 0.3333 0.7200
In 0.3333 0.6667 0.7385
In 0.6667 0.3333 0.2615



# 5
# CsTl12Te6

A relaxed CsTl12Te6 crystal (PBE-GGA, the Alexandria database).

Output
Formation energy from raw total energies   -515.4 kJ/mol of formula units
M_tot   0.000 μB/atom
VASP energy   -2.813 eV/atom

abc: 9.5154 9.5154 9.5154
angles: 103.70 103.70 103.70
Positions (direct):
Cs 0.0000 0.0000 0.0000
Tl 0.1126 0.5000 0.8874
Tl 0.1126 0.8874 0.5000
Tl 0.1865 0.4448 0.4448
Tl 0.4448 0.1865 0.4448
Tl 0.4448 0.4448 0.1865
Tl 0.5000 0.1126 0.8874
Tl 0.5000 0.8874 0.1126
Tl 0.5552 0.5552 0.8135
Tl 0.5552 0.8135 0.5552
Tl 0.8135 0.5552 0.5552
Tl 0.8874 0.1126 0.5000
Tl 0.8874 0.5000 0.1126
Te 0.2653 0.7330 0.7330
Te 0.2670 0.2670 0.7347
Te 0.2670 0.7347 0.2670
Te 0.7330 0.2653 0.7330
Te 0.7330 0.7330 0.2653
Te 0.7347 0.2670 0.2670



# 6
# LiMnAgSb

A relaxed LiMnAgSb crystal (PBE-GGA, the Alexandria database).

Output
Formation energy from raw total energies   -38.4 kJ/mol of formula units
M_tot   0.950 μB/atom
VASP energy   -4.614 eV/atom

abc: 4.6363 4.6363 4.6363
angles: 60.00 60.00 60.00
Positions (direct):
Li 0.0000 0.0000 0.0000
Mn 0.5000 0.5000 0.5000
Ag 0.7500 0.7500 0.7500
Sb 0.2500 0.2500 0.2500



# 7
# PaVB

A relaxed PaVB crystal (PBE-GGA, the Alexandria database).

Output
M_tot   0.000 μB/atom
Energy above the most stable polymorph in this dataset   0.0414 eV/atom
VASP energy   -8.414 eV/atom

abc: 10.9768 10.9768 10.9768
angles: 16.52 16.52 16.52
Positions (direct):
Pa 0.2152 0.2152 0.2152
Pa 0.7848 0.7848 0.7848
V 0.3635 0.3635 0.3635
V 0.6365 0.6365 0.6365
B 0.0638 0.0638 0.0638
B 0.9362 0.9362 0.9362



# 8
# NpCuS2

A relaxed NpCuS2 crystal (PBE-GGA, the Alexandria database).

Output
Formation energy from raw total energies   -299.1 kJ/mol of formula units
M_tot   1.000 μB/atom
Energy above the most stable polymorph in this dataset   0.1652 eV/atom
VASP energy   -7.098 eV/atom

abc: 6.5699 6.5699 6.5699
angles: 33.49 33.49 33.49
Positions (direct):
Np 0.0000 0.0000 0.0000
Cu 0.8060 0.8060 0.8060
S 0.2466 0.2466 0.2466
S 0.4297 0.4297 0.4297



# 9
# Li2LaGeO

A relaxed Li2LaGeO crystal (PBE-GGA, the Alexandria database).

Output
Formation energy from raw total energies   -662.3 kJ/mol of formula units
M_tot   0.000 μB/atom
Energy above the most stable polymorph in this dataset   0.0000 eV/atom
VASP energy   -5.039 eV/atom

abc: 6.3507 6.3507 7.6817
angles: 90.00 90.00 148.26
Positions (direct):
Li 0.1566 0.8434 0.5434
Li 0.1566 0.8434 0.9566
Li 0.8434 0.1566 0.0434
Li 0.8434 0.1566 0.4566
La 0.4685 0.5315 0.7500
La 0.5315 0.4685 0.2500
Ge 0.2596 0.7404 0.2500
Ge 0.7404 0.2596 0.7500
O 0.0000 0.0000 0.0000
O 0.0000 0.0000 0.5000



# 10
# Tb2Sm2ZnGa4

A relaxed Tb2Sm2ZnGa4 crystal (PBE-GGA, the Alexandria database).

Output
M_tot   0.000 μB/atom
VASP energy   -3.847 eV/atom

abc: 6.6299 6.6299 6.6299
angles: 115.99 115.99 97.09
Positions (direct):
Tb 0.2500 0.7500 0.5000
Tb 0.7500 0.2500 0.5000
Sm 0.1875 0.1875 0.0000
Sm 0.8125 0.8125 0.0000
Zn 0.5000 0.5000 0.0000
Ga 0.2576 0.2576 0.5153
Ga 0.2576 0.7424 0.0000
Ga 0.7424 0.2576 0.0000
Ga 0.7424 0.7424 0.4847



# 11
# Nd4Dy2Tl3O2

A relaxed Nd4Dy2Tl3O2 crystal (PBE-GGA, the Alexandria database).

Output
Formation energy from raw total energies   -1253.1 kJ/mol of formula units
M_tot   0.000 μB/atom
VASP energy   -5.298 eV/atom

abc: 13.0943 13.0943 13.0943
angles: 158.68 158.68 30.33
Positions (direct):
Nd 0.0869 0.5869 0.5000
Nd 0.4131 0.9131 0.5000
Nd 0.5869 0.0869 0.5000
Nd 0.9131 0.4131 0.5000
Dy 0.1975 0.1975 0.0000
Dy 0.8025 0.8025 0.0000
Tl 0.3215 0.3215 0.0000
Tl 0.5000 0.5000 0.0000
Tl 0.6785 0.6785 0.0000
O 0.1077 0.1077 0.0000
O 0.8923 0.8923 0.0000



# 12
# SrCa2Cl

A relaxed SrCa2Cl crystal (PBE-GGA, the Alexandria database).

Output
Formation energy from raw total energies   -285.8 kJ/mol of formula units
M_tot   0.000 μB/atom
Energy above the most stable polymorph in this dataset   0.0509 eV/atom
VASP energy   -2.623 eV/atom

abc: 3.9552 3.9552 10.9938
angles: 90.00 90.00 118.91
Positions (direct):
Sr 0.0000 0.0000 0.0000
Ca 0.5000 0.5000 0.2993
Ca 0.5000 0.5000 0.7007
Cl 0.0000 0.0000 0.5000